PaAu2 | PBE-GGA | relaxed

Cell lengths 5.506, 5.506, 5.506 Å; angles 141.04, 141.04, 56.27 degrees
Atoms (fractional coordinates):
Pa1 0.000 0.000 0.000
Au1 0.327 0.327 0.000
Au2 0.673 0.673 0.000

Results
electronic total energy = -5.6927 eV/atom
energy of formation = -1.03 eV per formula unit
D(E_F) = 4.9 states/eV per cell


Pa3Au | PBE-GGA | relaxed

Cell lengths 5.084, 5.084, 5.084 Å; angles 60.00, 60.00, 60.00 degrees
Atoms (fractional coordinates):
Pa1 0.000 0.000 0.000
Pa2 0.250 0.250 0.250
Pa3 0.750 0.750 0.750
Au1 0.500 0.500 0.500

Results
electronic total energy = -7.9361 eV/atom
energy of formation = 0.02 eV per formula unit
energy relative to the lowest polymorph listed for this composition = 218 meV per atom
D(E_F) = 11.2 states/eV per cell


> D(E_F) of number 1 (PaAu2)?

4.9 states/eV per cell